# 1
Compound: NpFeGe2Ir
Source: Alexandria
Functional: PBE-GGA
Structure: optimized geometry

Structure (POSCAR):
```
NpFeGe2Ir
1.0
4.0797 0.0000 0.0000
0.0000 4.0797 0.0000
-2.0398 -2.0398 5.1356
Fe Ge Np Ir
1 2 1 1
direct
0.7500 0.2500 0.5000
0.6234 0.6234 0.2468
0.3766 0.3766 0.7532
0.0000 0.0000 0.0000
0.2500 0.7500 0.5000
```

- Space-group type: I-4m2, No. 119

# 2
Compound: Np2FeGe3Ir4
Source: Alexandria
Functional: PBE-GGA
Structure: optimized geometry

Structure (POSCAR):
```
Np2FeGe3Ir4
1.0
4.1279 0.0000 0.0000
0.0000 4.1279 0.0000
0.0000 0.0000 10.4396
Ir Ge Np Fe
4 3 2 1
direct
0.0000 0.5000 0.3648
0.5000 0.5000 0.0000
0.0000 0.0000 0.0000
0.5000 0.0000 0.6352
0.0000 0.5000 0.1324
0.5000 0.0000 0.8676
0.0000 0.0000 0.5000
0.0000 0.5000 0.7421
0.5000 0.0000 0.2579
0.5000 0.5000 0.5000
```

- Space-group type: P-4m2, No. 115

# 3
Compound: Pa2FeGe3Ir4
Source: Alexandria
Functional: PBE-GGA
Structure: optimized geometry

Structure (POSCAR):
```
Pa2FeGe3Ir4
1.0
4.1218 0.0000 0.0000
0.0000 4.1218 0.0000
0.0000 0.0000 10.4124
Pa Ir Fe Ge
2 4 1 3
direct
0.5000 0.0000 0.2516
0.0000 0.5000 0.7484
0.5000 0.5000 0.0000
0.5000 0.0000 0.6344
0.0000 0.0000 0.0000
0.0000 0.5000 0.3656
0.5000 0.5000 0.5000
0.0000 0.0000 0.5000
0.5000 0.0000 0.8661
0.0000 0.5000 0.1339
```

- Space-group type: P-4m2, No. 115

# 4
Compound: PmFeGe2Ir
Source: Alexandria
Functional: PBE-GGA
Structure: optimized geometry

Structure (POSCAR):
```
PmFeGe2Ir
1.0
-1.0709 -1.4437 -3.7407
-3.6626 -1.2234 1.5207
0.3574 5.8818 -0.0702
Fe Pm Ge Ir
1 1 2 1
direct
0.2500 0.7500 0.5000
0.0000 0.0000 0.0000
0.6281 0.6281 0.2562
0.3719 0.3719 0.7438
0.7500 0.2500 0.5000
```

- Space-group type: I-4m2, No. 119

# 5
Compound: Pu2FeGe4Ir3
Source: Alexandria
Functional: PBE-GGA
Structure: optimized geometry

Structure (POSCAR):
```
Pu2FeGe4Ir3
1.0
-2.8378 -1.4860 2.7414
2.9762 -0.1849 2.9806
-2.2309 9.4511 2.8139
Fe Ir Ge Pu
1 3 4 2
direct
0.5000 0.5000 0.5000
0.0000 0.5000 0.1309
0.5000 0.0000 0.8691
0.0000 0.0000 0.5000
0.5000 0.0000 0.6261
0.0000 0.5000 0.3739
0.5000 0.5000 0.0000
0.0000 0.0000 0.0000
0.5000 0.0000 0.2543
0.0000 0.5000 0.7457
```

- Space-group type: P-4m2, No. 115

# 6
Compound: FeGeIr2Rh
Source: Alexandria
Functional: PBE-GGA
Structure: optimized geometry

Structure (POSCAR):
```
FeGeIr2Rh
1.0
4.5221 0.0000 0.0000
0.0000 4.4716 0.0000
0.0000 0.0000 4.5221
Ir Rh Fe Ge
2 1 1 1
direct
0.0000 0.0000 0.5000
0.5000 0.0000 0.0000
0.0000 0.5000 0.0000
0.5000 0.5000 0.5000
0.0000 0.0000 0.0000
```

- Space-group type: P4/mmm, No. 123

# 7
Compound: Sm2FeGe3Ir4
Source: Alexandria
Functional: PBE-GGA
Structure: optimized geometry

Structure (POSCAR):
```
Sm2FeGe3Ir4
1.0
-2.0099 -2.7550 -2.4335
2.0085 -3.1460 1.9027
-7.5922 -0.6260 6.9794
Ge Ir Sm Fe
3 4 2 1
direct
0.0000 0.0000 0.5000
0.0000 0.5000 0.1318
0.5000 0.0000 0.8682
0.5000 0.5000 0.0000
0.0000 0.0000 0.0000
0.0000 0.5000 0.3684
0.5000 0.0000 0.6316
0.5000 0.0000 0.2536
0.0000 0.5000 0.7464
0.5000 0.5000 0.5000
```

- Space-group type: P-4m2, No. 115

# 8
Compound: Tb2FeGe3Ir4
Source: Alexandria
Functional: PBE-GGA
Structure: optimized geometry

Structure (POSCAR):
```
Tb2FeGe3Ir4
1.0
4.1550 0.0000 0.0000
0.0000 4.1550 0.0000
0.0000 0.0000 10.3371
Tb Ge Ir Fe
2 3 4 1
direct
0.5000 0.0000 0.2527
0.0000 0.5000 0.7473
0.0000 0.0000 0.5000
0.5000 0.0000 0.8674
0.0000 0.5000 0.1326
0.5000 0.0000 0.6330
0.5000 0.5000 0.0000
0.0000 0.0000 0.0000
0.0000 0.5000 0.3670
0.5000 0.5000 0.5000
```

- Space-group type: P-4m2, No. 115

| no. | DFT formation energy (meV per atom) | electronic total energy (eV/atom) |
| --- | --- | --- |
| 1 | -282 | -8.18 |
| 2 | -349 | -8.71 |
| 3 | -615 | -8.29 |
| 4 | -617 | -6.88 |
| 5 | -473 | -8.69 |
| 6 | 1433 | -6.20 |
| 7 | -683 | -7.40 |
| 8 | -684 | -7.39 |